1.
The following is a PBE calculation of a geometry-optimized SiPd structure, from Alexandria.

```
SiPd
1.0
3.871 -0.210 -4.966
-0.510 -2.946 5.545
-5.079 -2.496 -2.767
Si Pd
4 4
Direct
0.611 0.889 0.500
0.889 0.389 0.278
0.389 0.111 0.500
0.111 0.611 0.722
0.679 0.179 0.857
0.321 0.821 0.143
0.179 0.321 0.500
0.821 0.679 0.500
```

Calculated values
Energy = -5.71 eV per atom
Crystal system = tetragonal
Space group = I4/mcm, No. 140
Volume = 19.91 A^3/atom

---

2.
The following is a PBE calculation of a geometry-optimized SiPd3 structure, from Alexandria.

```
SiPd3
1.0
2.939 0.000 0.000
0.000 4.566 0.000
-1.469 -2.283 4.428
Pd Si
3 1
Direct
0.292 0.682 0.584
0.708 0.098 0.416
0.500 0.411 0.000
0.000 0.975 0.000
```

Calculated values
Energy = -5.75 eV per atom
Crystal system = orthorhombic
Space group = Imm2, No. 44
Volume = 14.85 A^3/atom

---

3.
The following is a PBE calculation of a geometry-optimized SiPd4 structure, from Alexandria.

```
SiPd4
1.0
4.473 0.000 0.000
0.000 4.473 0.000
0.000 0.000 4.473
Pd Si
4 1
Direct
0.500 0.500 0.000
0.000 0.000 0.000
0.000 0.500 0.500
0.500 0.000 0.500
0.500 0.500 0.500
```

Calculated values
Energy above the most stable polymorph in this dataset = 583 meV/atom
Crystal system = cubic
Space group = Pm-3m, No. 221
Volume = 17.90 A^3/atom